Material: Y4ScTl
Method: DFT, PBE-GGA
State: optimized geometry Values from VASP.

The calculation puts the energy relative to the elements at 0.00 eV/atom. For the energy, the calculation gives -69.13 eV/cell. The relative energy among the computed polymorphs is 0.59 eV per formula unit.

```
&SYSTEM
  ibrav = 0, nat = 12, ntyp = 3
/
ATOMIC_SPECIES
Y 88.91 Y.upf
Sc 44.96 Sc.upf
Tl 204.38 Tl.upf
ATOMIC_POSITIONS crystal
Y 0.094 0.712 0.958
Y 0.178 0.406 0.620
Y 0.288 0.906 0.542
Y 0.406 0.178 0.120
Y 0.594 0.822 0.880
Y 0.712 0.094 0.458
Y 0.822 0.594 0.380
Y 0.906 0.288 0.042
Sc 0.403 0.597 0.250
Sc 0.597 0.403 0.750
Tl 0.000 0.000 0.250
Tl 0.000 0.000 0.750
CELL_PARAMETERS angstrom
4.358 -6.911 0.000
4.358 6.911 0.000
-2.000 0.000 6.062
```